First-principles (PBE) data for an optimized crystal structure of SiMoHI2, as listed in Alexandria via LeMat-Bulk.

Geometry as CIF:
```
data_SiMoHI2
_symmetry_space_group_name_H-M 'P 4/m m m'
_symmetry_Int_Tables_number 123
_symmetry_space_group_name_Hall '-P 4 2'
_cell_length_a 5.7316
_cell_length_b 5.7316
_cell_length_c 4.9939
_cell_angle_alpha 90.00
_cell_angle_beta 90.00
_cell_angle_gamma 90.00
loop_
_atom_site_label
_atom_site_type_symbol
_atom_site_fract_x
_atom_site_fract_y
_atom_site_fract_z
_atom_site_occupancy
Si1 Si 0.0000 0.0000 0.0000 1
Mo1 Mo 0.0000 0.0000 0.5000 1
H1 H 0.5000 0.5000 0.5000 1
I1 I 0.0000 0.5000 0.0000 1
```

Output
spin magnetization: 1.006 μB per atom
N(E_F): 0.2244 states/eV per atom
total energy: -16.60 eV/cell

First-principles (PBE) data for an optimized crystal structure of TaMo2HI, as listed in Alexandria via LeMat-Bulk.

Geometry as CIF:
```
data_TaMo2HI
_symmetry_space_group_name_H-M 'P 4/m m m'
_symmetry_Int_Tables_number 123
_symmetry_space_group_name_Hall '-P 4 2'
_cell_length_a 5.0370
_cell_length_b 5.0370
_cell_length_c 3.4755
_cell_angle_alpha 90.00
_cell_angle_beta 90.00
_cell_angle_gamma 90.00
loop_
_atom_site_label
_atom_site_type_symbol
_atom_site_fract_x
_atom_site_fract_y
_atom_site_fract_z
_atom_site_occupancy
Ta1 Ta 0.0000 0.0000 0.0000 1
Mo1 Mo 0.0000 0.5000 0.0000 1
H1 H 0.0000 0.0000 0.5000 1
I1 I 0.5000 0.5000 0.5000 1
```

Output
spin magnetization: 0.344 μB per atom
N(E_F): 1.0067 states/eV per atom
total energy: -32.25 eV/cell

First-principles (PBE) data for an optimized crystal structure of TeMoHI2, as listed in Alexandria via LeMat-Bulk.

Geometry as CIF:
```
data_TeMoHI2
_symmetry_space_group_name_H-M 'P 4/m m m'
_symmetry_Int_Tables_number 123
_symmetry_space_group_name_Hall '-P 4 2'
_cell_length_a 5.7442
_cell_length_b 5.7442
_cell_length_c 5.2208
_cell_angle_alpha 90.00
_cell_angle_beta 90.00
_cell_angle_gamma 90.00
loop_
_atom_site_label
_atom_site_type_symbol
_atom_site_fract_x
_atom_site_fract_y
_atom_site_fract_z
_atom_site_occupancy
Te1 Te 0.0000 0.0000 0.0000 1
Mo1 Mo 0.0000 0.0000 0.5000 1
H1 H 0.5000 0.5000 0.0000 1
I1 I 0.0000 0.5000 0.5000 1
```

Output
distance to the lowest polymorph of the same formula: 0 meV per atom
spin magnetization: 0.596 μB per atom
N(E_F): 0.9032 states/eV per atom

The lowest spin magnetization belongs to which entry?
TaMo2HI